The following is a DFT calculation (PBE) of a relaxed YHoCS crystal.

* total energy: -0.54142 Ry per atom

Unit cell a=3.6981 b=3.6981 c=12.8774 alpha=90.00 beta=90.00 gamma=120.00
Last column: nearest neighbours and their distance in Å.
Fractional positions:
Y (0.3333, 0.6667, 0.1046)  3 C 2.52
Y (0.6667, 0.3333, 0.8954)  3 C 2.52
Ho (0.3333, 0.6667, 0.3964)  3 C 2.52
Ho (0.6667, 0.3333, 0.6036)  3 C 2.52
C (0.0000, 0.0000, 0.0000)  6 Y 2.52
C (0.0000, 0.0000, 0.5000)  6 Ho 2.52
S (0.3333, 0.6667, 0.7490)  3 Ho 2.84, 3 Y 2.85
S (0.6667, 0.3333, 0.2510)  3 Ho 2.84, 3 Y 2.85